--- one ---
First-principles (PBE) data for a relaxed structure of Si2AgMo, as listed in the Alexandria database.

Properties
* volume: 60.1 Å³/cell
* Fermi-level density of states: 2.30 states/eV per cell

Cell lengths 4.765, 4.765, 4.765 Å; angles 131.11, 131.11, 71.64 degrees
Positions (direct):
Si 0.500 0.500 0.000
Si 0.000 0.000 0.000
Mo 0.750 0.250 0.500
Ag 0.250 0.750 0.500



--- two ---
First-principles (PBE) data for a relaxed structure of Si2AgMo, as listed in the Alexandria database.

Properties
* volume: 63.5 Å³/cell
* Fermi-level density of states: 1.60 states/eV per cell

Cell lengths 2.808, 2.808, 8.285 Å; angles 90.00, 90.00, 103.57 degrees
Positions (direct):
Si 0.000 0.000 0.976
Si 0.000 0.000 0.524
Mo 0.500 0.500 0.750
Ag 0.500 0.500 0.250



Relative energies in meV per atom: one 39; two 0



--- one ---
First-principles (PBE) data for a relaxed structure of Si2AgMo, as listed in the Alexandria database.

Properties
* volume: 61.3 Å³/cell
* Fermi-level density of states: 4.33 states/eV per cell

Cell lengths 3.425, 3.426, 5.227 Å; angles 90.00, 90.00, 90.00 degrees
Positions (direct):
Mo 0.500 0.500 0.795
Si 0.500 0.500 0.265
Si 0.000 0.000 0.972
Ag 0.000 0.000 0.469



--- two ---
First-principles (PBE) data for a relaxed structure of Si2AgMo, as listed in the Alexandria database.

Properties
* volume: 61.9 Å³/cell
* Fermi-level density of states: 2.53 states/eV per cell

Cell lengths 2.731, 2.731, 8.301 Å; angles 90.00, 90.00, 90.00 degrees
Positions (direct):
Ag 0.000 0.000 0.497
Si 0.500 0.500 0.238
Si 0.000 0.000 0.995
Mo 0.500 0.500 0.770



Relative energies in meV per atom: one 0; two 286



--- one ---
First-principles (PBE) data for a relaxed structure of Si2AgMo, as listed in the Alexandria database.

Properties
* volume: 60.8 Å³/cell
* Fermi-level density of states: 2.05 states/eV per cell

Cell lengths 4.845, 2.765, 4.538 Å; angles 90.02, 90.00, 90.00 degrees
Positions (direct):
Ag 0.000 0.375 0.502
Mo 0.500 0.875 0.752
Si 0.000 0.876 0.000
Si 0.500 0.374 0.246



--- two ---
First-principles (PBE) data for a relaxed structure of Si2AgMo, as listed in the Alexandria database.

Properties
* volume: 133.9 Å³/cell
* Fermi-level density of states: 7.54 states/eV per cell

Cell lengths 6.828, 6.828, 5.618 Å; angles 52.58, 52.58, 90.00 degrees
Positions (direct):
Ag 0.000 0.000 0.000
Ag 0.750 0.250 0.500
Mo 0.250 0.750 0.500
Mo 0.500 0.500 0.000
Si 0.620 0.125 0.250
Si 0.875 0.870 0.750
Si 0.375 0.380 0.750
Si 0.130 0.625 0.250



--- three ---
First-principles (PBE) data for a relaxed structure of Si2AgMo, as listed in the Alexandria database.

Properties
* volume: 60.6 Å³/cell
* Fermi-level density of states: 3.56 states/eV per cell

Cell lengths 4.409, 4.409, 4.409 Å; angles 60.00, 60.00, 60.00 degrees
Positions (direct):
Si 0.250 0.250 0.250
Si 0.750 0.750 0.750
Mo 0.000 0.000 0.000
Ag 0.500 0.500 0.500



--- four ---
First-principles (PBE) data for a relaxed structure of Si2AgMo, as listed in the Alexandria database.

Properties
* volume: 62.0 Å³/cell
* Fermi-level density of states: 2.12 states/eV per cell

Cell lengths 3.904, 2.825, 5.626 Å; angles 90.03, 90.00, 90.00 degrees
Positions (direct):
Mo 0.500 0.750 0.750
Ag 0.500 0.250 0.250
Si 0.000 0.250 0.537
Si 0.000 0.250 0.963



Relative energies in meV per atom: one 0; two 504; three 257; four 30



--- one ---
First-principles (PBE) data for a relaxed structure of Si2AgMo, as listed in the Alexandria database.

Properties
* volume: 62.2 Å³/cell
* Fermi-level density of states: 2.02 states/eV per cell

Cell lengths 5.296, 5.141, 2.794 Å; angles 75.08, 88.42, 120.50 degrees
Positions (direct):
Mo 0.500 0.500 0.000
Ag 0.000 0.500 0.500
Si 0.500 0.000 0.500
Si 0.000 0.000 0.000



--- two ---
First-principles (PBE) data for a relaxed structure of Si2AgMo, as listed in the Alexandria database.

Properties
* volume: 62.2 Å³/cell
* Fermi-level density of states: 4.18 states/eV per cell

Cell lengths 8.469, 8.469, 8.469 Å; angles 20.01, 20.01, 20.01 degrees
Positions (direct):
Si 0.256 0.256 0.256
Si 0.997 0.997 0.997
Ag 0.505 0.505 0.505
Mo 0.742 0.742 0.742



--- three ---
First-principles (PBE) data for a relaxed structure of Si2AgMo, as listed in the Alexandria database.

Properties
* volume: 59.3 Å³/cell
* Fermi-level density of states: 2.19 states/eV per cell

Cell lengths 4.288, 4.289, 3.227 Å; angles 90.00, 90.00, 90.00 degrees
Positions (direct):
Si 0.000 0.000 0.000
Si 0.500 0.500 0.000
Ag 0.500 0.000 0.500
Mo 0.000 0.500 0.500



Relative energies in meV per atom: one 110; two 152; three 0



--- one ---
First-principles (PBE) data for a relaxed structure of Si2AgMo, as listed in the Alexandria database.

Properties
* volume: 61.1 Å³/cell
* Fermi-level density of states: 1.95 states/eV per cell

Cell lengths 5.103, 5.103, 4.524 Å; angles 83.26, 83.26, 31.51 degrees
Positions (direct):
Si 0.008 0.008 0.960
Si 0.254 0.254 0.285
Mo 0.744 0.744 0.789
Ag 0.494 0.494 0.466



--- two ---
First-principles (PBE) data for a relaxed structure of Si2AgMo, as listed in the Alexandria database.

Properties
* volume: 62.5 Å³/cell
* Fermi-level density of states: 3.66 states/eV per cell

Cell lengths 4.455, 4.455, 4.455 Å; angles 60.00, 60.00, 60.00 degrees
Positions (direct):
Mo 0.750 0.750 0.750
Si 0.250 0.250 0.250
Si 0.000 0.000 0.000
Ag 0.500 0.500 0.500



Relative energies in meV per atom: one 0; two 456



--- one ---
First-principles (PBE) data for a relaxed structure of Si2AgMo2, as listed in the Alexandria database.

Properties
* volume: 149.4 Å³/cell
* Fermi-level density of states: 9.44 states/eV per cell

Cell lengths 6.703, 6.703, 3.325 Å; angles 90.00, 90.00, 90.00 degrees
Positions (direct):
Mo 0.338 0.162 0.500
Mo 0.662 0.838 0.500
Mo 0.838 0.338 0.500
Mo 0.162 0.662 0.500
Ag 0.500 0.500 0.000
Ag 0.000 0.000 0.000
Si 0.631 0.131 0.000
Si 0.131 0.369 0.000
Si 0.369 0.869 0.000
Si 0.869 0.631 0.000



--- two ---
First-principles (PBE) data for a relaxed structure of Si2AgMo2, as listed in the Alexandria database.

Properties
* volume: 84.4 Å³/cell
* Fermi-level density of states: 1.54 states/eV per cell

Cell lengths 3.909, 3.909, 6.178 Å; angles 71.56, 71.56, 90.00 degrees
Positions (direct):
Mo 0.250 0.750 0.500
Mo 0.750 0.250 0.500
Ag 0.000 0.000 0.000
Si 0.397 0.397 0.207
Si 0.603 0.603 0.793



Relative energies in meV per atom: one 0; two 223



--- one ---
First-principles (PBE) data for a relaxed structure of Ag3SnMo, as listed in the Alexandria database.

Properties
* volume: 136.1 Å³/cell
* Fermi-level density of states: 1.36 states/eV per cell

Cell lengths 5.144, 5.144, 5.144 Å; angles 90.00, 90.00, 90.00 degrees
Positions (direct):
Sn 0.000 0.000 0.000
Ag 0.500 0.000 0.000
Ag 0.000 0.500 0.000
Ag 0.000 0.000 0.500
Mo 0.500 0.500 0.500



--- two ---
First-principles (PBE) data for a relaxed structure of Ag3SnMo, as listed in the Alexandria database.

Properties
* volume: 138.6 Å³/cell
* Fermi-level density of states: 4.09 states/eV per cell

Cell lengths 5.175, 5.175, 5.175 Å; angles 90.00, 90.00, 90.00 degrees
Positions (direct):
Sn 0.500 0.500 0.500
Ag 0.500 0.000 0.000
Ag 0.000 0.500 0.000
Ag 0.000 0.000 0.500
Mo 0.000 0.000 0.000



Relative energies in meV per atom: one 0; two 127



--- one ---
First-principles (PBE) data for a relaxed structure of AgSn2Mo, as listed in the Alexandria database.

Properties
* volume: 80.5 Å³/cell
* Fermi-level density of states: 2.86 states/eV per cell

Cell lengths 4.846, 4.846, 4.846 Å; angles 60.00, 60.00, 60.00 degrees
Positions (direct):
Sn 0.750 0.750 0.750
Sn 0.250 0.250 0.250
Mo 0.000 0.000 0.000
Ag 0.500 0.500 0.500



--- two ---
First-principles (PBE) data for a relaxed structure of AgSn2Mo, as listed in the Alexandria database.

Properties
* volume: 178.4 Å³/cell
* Fermi-level density of states: 8.74 states/eV per cell

Cell lengths 7.625, 7.625, 6.203 Å; angles 52.08, 52.08, 90.00 degrees
Positions (direct):
Ag 0.000 0.000 0.000
Ag 0.750 0.250 0.500
Sn 0.626 0.125 0.250
Sn 0.875 0.876 0.750
Sn 0.375 0.374 0.750
Sn 0.124 0.625 0.250
Mo 0.250 0.750 0.500
Mo 0.500 0.500 0.000



Relative energies in meV per atom: one 0; two 211



--- one ---
First-principles (PBE) data for a relaxed structure of Sr2AgMo, as listed in the Alexandria database.

Properties
* volume: 118.2 Å³/cell
* Fermi-level density of states: 1.81 states/eV per cell

Cell lengths 5.557, 5.557, 3.827 Å; angles 89.99, 89.99, 89.94 degrees
Positions (direct):
Sr 0.000 0.000 0.000
Sr 0.500 0.500 0.000
Mo 0.000 0.500 0.500
Ag 0.500 0.000 0.500



--- two ---
First-principles (PBE) data for a relaxed structure of Sr2AgMo, as listed in the Alexandria database.

Properties
* volume: 116.6 Å³/cell
* Fermi-level density of states: 3.42 states/eV per cell

Cell lengths 10.115, 10.115, 10.115 Å; angles 21.03, 21.03, 21.03 degrees
Positions (direct):
Sr 0.002 0.002 0.002
Sr 0.498 0.498 0.498
Mo 0.750 0.750 0.750
Ag 0.250 0.250 0.250



Relative energies in meV per atom: one 0; two 183



--- one ---
First-principles (PBE) data for a relaxed structure of SrAg2Mo, as listed in the Alexandria database.

Properties
* volume: 85.5 Å³/cell
* Fermi-level density of states: 3.31 states/eV per cell

Cell lengths 5.072, 3.131, 5.384 Å; angles 90.01, 90.00, 90.00 degrees
Positions (direct):
Sr 0.500 0.625 0.813
Ag 0.500 0.125 0.319
Ag 0.000 0.125 0.958
Mo 0.000 0.625 0.410



--- two ---
First-principles (PBE) data for a relaxed structure of SrAg2Mo, as listed in the Alexandria database.

Properties
* volume: 82.4 Å³/cell
* Fermi-level density of states: 5.18 states/eV per cell

Cell lengths 10.383, 10.383, 10.383 Å; angles 16.89, 16.89, 16.89 degrees
Positions (direct):
Mo 0.250 0.250 0.250
Ag 0.508 0.508 0.508
Ag 0.992 0.992 0.992
Sr 0.750 0.750 0.750



Relative energies in meV per atom: one 0; two 219



--- one ---
First-principles (PBE) data for a relaxed structure of SrAg2Mo, as listed in the Alexandria database.

Properties
* volume: 92.1 Å³/cell
* Fermi-level density of states: 3.01 states/eV per cell

Cell lengths 5.905, 5.905, 5.905 Å; angles 143.79, 130.00, 63.27 degrees
Positions (direct):
Mo 0.523 0.523 0.000
Ag 0.979 0.979 0.000
Ag 0.752 0.252 0.500
Sr 0.245 0.745 0.500



--- two ---
First-principles (PBE) data for a relaxed structure of SrAg2Mo, as listed in the Alexandria database.

Properties
* volume: 89.8 Å³/cell
* Fermi-level density of states: 2.55 states/eV per cell

Cell lengths 5.026, 5.026, 5.026 Å; angles 60.00, 60.00, 60.00 degrees
Positions (direct):
Mo 0.500 0.500 0.500
Ag 0.250 0.250 0.250
Ag 0.000 0.000 0.000
Sr 0.750 0.750 0.750



--- three ---
First-principles (PBE) data for a relaxed structure of SrAg2Mo, as listed in the Alexandria database.

Properties
* volume: 86.7 Å³/cell
* Fermi-level density of states: 3.96 states/eV per cell

Cell lengths 2.991, 4.103, 7.064 Å; angles 90.00, 90.00, 90.00 degrees
Positions (direct):
Mo 0.500 0.500 0.250
Ag 0.000 0.000 0.051
Ag 0.000 0.000 0.449
Sr 0.500 0.500 0.750



Relative energies in meV per atom: one 123; two 191; three 0